Below is an optimized crystal structure of CuTcTePb2, with properties calculated at the PBE level.

a = 6.0217 Å, b = 4.9874 Å, c = 6.0217 Å
α = 90.00°, β = 90.00°, γ = 90.00°
Last column: nearest neighbours and their distance in Å.
Element x y z (fractional)
Pb  0.0000  0.0000  0.5000  2 Te 3.01
Pb  0.5000  0.0000  0.0000  2 Te 3.01
Te  0.0000  0.0000  0.0000  2 Tc 2.49
Tc  0.0000  0.5000  0.0000  2 Te 2.49
Cu  0.5000  0.5000  0.5000  8 Pb 3.91, 4 Tc 4.26

Results
- raw formation energy (meV per atom) = 1292.9